Arrangement 1

BaGe3Br after structural relaxation. Source: the Alexandria database, functional PBE.

Computed properties:
Total magnetization: 2.7 μB per cell
Fermi-level density of states: 6.51 states/eV per cell

Cell: 6.065 6.065 6.065 Å, 90.00 90.00 90.00°
Space group Pm-3m (No. 221)
Asymmetric unit:
Ba 0.000 0.000 0.000 (multiplicity 1)
Ge 0.000 0.000 0.500 (multiplicity 3)
Br 0.500 0.500 0.500 (multiplicity 1)

---

Arrangement 2

BaGe3Br after structural relaxation. Source: the Alexandria database, functional PBE.

Computed properties:
Total magnetization: 0.0 μB per cell
Fermi-level density of states: 4.76 states/eV per cell

Cell: 5.344 5.344 5.344 Å, 90.00 90.00 90.00°
Space group Pm-3m (No. 221)
Asymmetric unit:
Ba 0.000 0.000 0.000 (multiplicity 1)
Ge 0.000 0.500 0.500 (multiplicity 3)
Br 0.500 0.500 0.500 (multiplicity 1)

---

Result of the stability comparison: arrangement 1 is the least stable of them.

---

Arrangement 1

BaGeBr3 after structural relaxation. Source: the Alexandria database, functional PBE.

Computed properties:
Total magnetization: 0.0 μB per cell
Fermi-level density of states: 3.44 states/eV per cell

Cell: 5.572 5.572 5.572 Å, 90.00 90.00 90.00°
Space group Pm-3m (No. 221)
Asymmetric unit:
Ba 0.000 0.000 0.000 (multiplicity 1)
Ge 0.500 0.500 0.500 (multiplicity 1)
Br 0.000 0.500 0.500 (multiplicity 3)

---

Arrangement 2

BaGeBr3 after structural relaxation. Source: the Alexandria database, functional PBE.

Computed properties:
Total magnetization: 1.0 μB per cell
Fermi-level density of states: 6.39 states/eV per cell

Cell: 6.255 6.255 6.255 Å, 90.00 90.00 90.00°
Space group Pm-3m (No. 221)
Asymmetric unit:
Ba 0.000 0.000 0.000 (multiplicity 1)
Ge 0.500 0.500 0.500 (multiplicity 1)
Br 0.000 0.000 0.500 (multiplicity 3)

---

Result of the stability comparison: arrangement 2 is the least stable of them.

---

Arrangement 1

BaGe2SBr after structural relaxation. Source: the Alexandria database, functional PBE.

Computed properties:
Total magnetization: 0.8 μB per cell
Fermi-level density of states: 4.25 states/eV per cell

Cell: 6.297 6.297 5.528 Å, 90.00 90.00 90.00°
Space group P4/mmm (No. 123)
Asymmetric unit:
Ba 0.000 0.000 0.000 (multiplicity 1)
Ge 0.000 0.500 0.000 (multiplicity 2)
S 0.000 0.000 0.500 (multiplicity 1)
Br 0.500 0.500 0.500 (multiplicity 1)

---

Arrangement 2

BaGe2SBr after structural relaxation. Source: the Alexandria database, functional PBE.

Computed properties:
Total magnetization: 0.0 μB per cell
Fermi-level density of states: 4.00 states/eV per cell

Cell: 5.002 5.002 6.357 Å, 90.00 90.00 90.00°
Space group P4/mmm (No. 123)
Asymmetric unit:
Ba 0.000 0.000 0.000 (multiplicity 1)
Ge 0.000 0.500 0.500 (multiplicity 2)
S 0.000 0.000 0.500 (multiplicity 1)
Br 0.500 0.500 0.000 (multiplicity 1)

---

Result of the stability comparison: arrangement 1 is the least stable of them.

---

Arrangement 1

BaH3Br after structural relaxation. Source: the Alexandria database, functional PBE.

Computed properties:
Total magnetization: 0.0 μB per cell
Fermi-level density of states: 1.89 states/eV per cell

Cell: 4.419 4.419 4.419 Å, 90.00 90.00 90.00°
Space group Pm-3m (No. 221)
Asymmetric unit:
Ba 0.000 0.000 0.000 (multiplicity 1)
H 0.000 0.500 0.500 (multiplicity 3)
Br 0.500 0.500 0.500 (multiplicity 1)

---

Arrangement 2

BaH3Br after structural relaxation. Source: the Alexandria database, functional PBE.

Computed properties:
Total magnetization: 2.0 μB per cell
Fermi-level density of states: 0.91 states/eV per cell

Cell: 4.758 4.758 4.758 Å, 90.00 90.00 90.00°
Space group Pm-3m (No. 221)
Asymmetric unit:
Ba 0.000 0.000 0.000 (multiplicity 1)
H 0.000 0.000 0.500 (multiplicity 3)
Br 0.500 0.500 0.500 (multiplicity 1)

---

Result of the stability comparison: arrangement 1 is the least stable of them.

---

Arrangement 1

BaHSe2Br after structural relaxation. Source: the Alexandria database, functional PBE.

Computed properties:
Total magnetization: 0.0 μB per cell
Fermi-level density of states: 1.26 states/eV per cell

Cell: 4.397 4.397 6.184 Å, 90.00 90.00 90.00°
Space group P4/mmm (No. 123)
Asymmetric unit:
Ba 0.000 0.000 0.000 (multiplicity 1)
H 0.500 0.500 0.500 (multiplicity 1)
Se 0.000 0.500 0.500 (multiplicity 2)
Br 0.500 0.500 0.000 (multiplicity 1)

---

Arrangement 2

BaHSe2Br after structural relaxation. Source: the Alexandria database, functional PBE.

Computed properties:
Total magnetization: 4.0 μB per cell
Fermi-level density of states: 2.56 states/eV per cell

Cell: 6.648 6.648 6.299 Å, 90.00 90.00 90.00°
Space group P4/mmm (No. 123)
Asymmetric unit:
Ba 0.000 0.000 0.000 (multiplicity 1)
H 0.500 0.500 0.500 (multiplicity 1)
Se 0.000 0.500 0.000 (multiplicity 2)
Br 0.000 0.000 0.500 (multiplicity 1)

---

Result of the stability comparison: arrangement 2 is the least stable of them.

---

Arrangement 1

BaHf3Br after structural relaxation. Source: the Alexandria database, functional PBE.

Computed properties:
Total magnetization: 0.0 μB per cell
Fermi-level density of states: 5.19 states/eV per cell

Cell: 5.179 5.179 5.179 Å, 90.00 90.00 90.00°
Space group Pm-3m (No. 221)
Asymmetric unit:
Ba 0.000 0.000 0.000 (multiplicity 1)
Hf 0.000 0.500 0.500 (multiplicity 3)
Br 0.500 0.500 0.500 (multiplicity 1)

---

Arrangement 2

BaHf3Br after structural relaxation. Source: the Alexandria database, functional PBE.

Computed properties:
Total magnetization: 0.0 μB per cell
Fermi-level density of states: 9.51 states/eV per cell

Cell: 5.440 5.440 5.440 Å, 90.00 90.00 90.00°
Space group Pm-3m (No. 221)
Asymmetric unit:
Ba 0.000 0.000 0.000 (multiplicity 1)
Hf 0.000 0.000 0.500 (multiplicity 3)
Br 0.500 0.500 0.500 (multiplicity 1)

---

Result of the stability comparison: arrangement 2 is the least stable of them.

---

Arrangement 1

BaHgBr after structural relaxation. Source: the Alexandria database, functional PBE.

Computed properties:
Total magnetization: 0.0 μB per cell
Fermi-level density of states: 2.65 states/eV per cell

Cell: 4.523 4.523 10.316 Å, 90.00 90.00 90.00°
Space group P4/nmm (No. 129, origin choice 2)
Asymmetric unit:
Ba 0.250 0.250 0.227 (multiplicity 2)
Hg 0.250 0.750 0.500 (multiplicity 2)
Br 0.250 0.250 0.890 (multiplicity 2)

---

Arrangement 2

BaHgBr after structural relaxation. Source: the Alexandria database, functional PBE.

Computed properties:
Total magnetization: 0.0 μB per cell
Fermi-level density of states: 3.96 states/eV per cell

Cell: 4.256 4.256 13.376 Å, 90.00 90.00 90.00°
Space group I4mm (No. 107)
Asymmetric unit:
Ba 0.000 0.000 0.000 (multiplicity 2)
Hg 0.000 0.000 0.347 (multiplicity 2)
Br 0.000 0.000 0.613 (multiplicity 2)

---

Arrangement 3

BaHgBr after structural relaxation. Source: the Alexandria database, functional PBE.

Computed properties:
Total magnetization: 0.0 μB per cell
Fermi-level density of states: 2.13 states/eV per cell

Cell: 5.155 4.289 5.778 Å, 90.00 90.12 90.00°
Space group P2/m (No. 10)
Asymmetric unit:
Ba 0.000 0.000 0.000 (multiplicity 1)
Hg 0.000 0.500 0.500 (multiplicity 1)
Br 0.500 0.500 0.000 (multiplicity 1)

---

Arrangement 4

BaHgBr after structural relaxation. Source: the Alexandria database, functional PBE.

Computed properties:
Total magnetization: 2.6 μB per cell
Fermi-level density of states: 7.71 states/eV per cell

Cell: 7.807 7.807 7.807 Å, 90.00 90.00 90.00°
Space group F-43m (No. 216)
Asymmetric unit:
Ba 0.000 0.000 0.000 (multiplicity 4)
Hg 0.000 0.000 0.500 (multiplicity 4)
Br 0.250 0.250 0.250 (multiplicity 4)

---

Result of the stability comparison: arrangement 4 is the least stable of them.

---

Arrangement 1

BaHgBr after structural relaxation. Source: the Alexandria database, functional PBE.

Computed properties:
Total magnetization: 0.0 μB per cell
Fermi-level density of states: 7.48 states/eV per cell

Cell: 4.538 4.538 20.696 Å, 90.00 90.00 90.00°
Space group I4/mmm (No. 139)
Asymmetric unit:
Ba 0.000 0.000 0.137 (multiplicity 4)
Hg 0.000 0.500 0.000 (multiplicity 4)
Br 0.000 0.000 0.306 (multiplicity 4)

---

Arrangement 2

BaHgBr after structural relaxation. Source: the Alexandria database, functional PBE.

Computed properties:
Total magnetization: 0.0 μB per cell
Fermi-level density of states: 7.34 states/eV per cell

Cell: 7.847 7.847 7.847 Å, 90.00 90.00 90.00°
Space group F-43m (No. 216)
Asymmetric unit:
Ba 0.000 0.000 0.000 (multiplicity 4)
Hg 0.250 0.250 0.250 (multiplicity 4)
Br 0.000 0.000 0.500 (multiplicity 4)

---

Arrangement 3

BaHgBr after structural relaxation. Source: the Alexandria database, functional PBE.

Computed properties:
Total magnetization: 0.0 μB per cell
Fermi-level density of states: 4.53 states/eV per cell

Cell: 4.938 5.604 8.545 Å, 90.00 106.79 90.00°
Space group P2_1/m (No. 11)
Asymmetric unit:
Ba 0.130 0.250 0.259 (multiplicity 2)
Hg 0.464 0.250 0.927 (multiplicity 2)
Br 0.237 0.750 0.474 (multiplicity 2)

---

Arrangement 4

BaHgBr after structural relaxation. Source: the Alexandria database, functional PBE.

Computed properties:
Total magnetization: 0.0 μB per cell
Fermi-level density of states: 1.68 states/eV per cell

Cell: 5.5408 5.5408 4.6150 Å, 90.00 90.00 120.00°
Space group P3m1 (No. 156)
Asymmetric unit:
Ba 0.0000 0.0000 0.0000 (multiplicity 1)
Hg 0.3333 0.6667 0.5013 (multiplicity 1)
Br 0.6667 0.3333 0.0001 (multiplicity 1)

---

Result of the stability comparison: arrangement 2 is the least stable of them.

---

Arrangement 1

BaHgBr after structural relaxation. Source: the Alexandria database, functional PBE.

Computed properties:
Total magnetization: 0.0 μB per cell
Fermi-level density of states: 1.37 states/eV per cell

Cell: 4.351 4.394 10.817 Å, 90.00 96.06 90.00°
Space group P2_1/m (No. 11)
Asymmetric unit:
Ba 0.192 0.250 0.268 (multiplicity 2)
Hg 0.294 0.250 0.938 (multiplicity 2)
Br 0.276 0.250 0.603 (multiplicity 2)

---

Arrangement 2

BaHgBr after structural relaxation. Source: the Alexandria database, functional PBE.

Computed properties:
Total magnetization: 0.0 μB per cell
Fermi-level density of states: 3.71 states/eV per cell

Cell: 13.339 4.972 8.596 Å, 90.00 90.00 90.00°
Space group Amm2 (No. 38)
Asymmetric unit:
Ba 0.163 0.000 0.000 (multiplicity 4)
Hg 0.000 0.000 0.334 (multiplicity 2)
Hg 0.500 0.000 0.999 (multiplicity 2)
Br 0.278 0.000 0.334 (multiplicity 4)

---

Result of the stability comparison: arrangement 2 is the least stable of them.

---

Arrangement 1

Ba2IBr after structural relaxation. Source: the Alexandria database, functional PBE.

Computed properties:
Total magnetization: 0.0 μB per cell
Fermi-level density of states: 6.86 states/eV per cell

Cell: 4.7421 4.7421 25.0348 Å, 90.00 90.00 120.00°
Space group R-3m (No. 166, hexagonal axes)
Asymmetric unit:
Ba 0.0000 0.0000 0.2408 (multiplicity 6)
I 0.0000 0.0000 0.0000 (multiplicity 3)
Br 0.0000 0.0000 0.5000 (multiplicity 3)

---

Arrangement 2

Ba2IBr after structural relaxation. Source: the Alexandria database, functional PBE.

Computed properties:
Total magnetization: 5.4 μB per cell
Fermi-level density of states: 10.59 states/eV per cell

Cell: 8.394 8.394 8.394 Å, 90.00 90.00 90.00°
Space group Fm-3m (No. 225)
Asymmetric unit:
Ba 0.250 0.250 0.250 (multiplicity 8)
I 0.000 0.000 0.000 (multiplicity 4)
Br 0.000 0.000 0.500 (multiplicity 4)

---

Result of the stability comparison: arrangement 2 is the least stable of them.

---

Arrangement 1

Ba2IBr after structural relaxation. Source: the Alexandria database, functional PBE.

Computed properties:
Total magnetization: 0.3 μB per cell
Fermi-level density of states: 6.27 states/eV per cell

Cell: 4.4717 4.4717 28.8239 Å, 90.00 90.00 120.00°
Space group R3m (No. 160, hexagonal axes)
Asymmetric unit:
Ba 0.0000 0.0000 0.0000 (multiplicity 3)
Ba 0.0000 0.0000 0.1639 (multiplicity 3)
I 0.0000 0.0000 0.5815 (multiplicity 3)
Br 0.0000 0.0000 0.4161 (multiplicity 3)

---

Arrangement 2

Ba2IBr after structural relaxation. Source: the Alexandria database, functional PBE.

Computed properties:
Total magnetization: 7.1 μB per cell
Fermi-level density of states: 7.16 states/eV per cell

Cell: 7.774 7.774 15.545 Å, 90.00 90.00 90.00°
Space group I-42d (No. 122)
Asymmetric unit:
Ba 0.226 0.250 0.125 (multiplicity 8)
I 0.000 0.000 0.500 (multiplicity 4)
Br 0.000 0.000 0.000 (multiplicity 4)

---

Result of the stability comparison: arrangement 2 is the least stable of them.

---

Arrangement 1

BaIBr2 after structural relaxation. Source: the Alexandria database, functional PBE.

Computed properties:
Total magnetization: 3.0 μB per cell
Fermi-level density of states: 0.00 states/eV per cell

Cell: 5.1797 5.1797 28.1455 Å, 90.00 90.00 120.00°
Space group R-3m (No. 166, hexagonal axes)
Asymmetric unit:
Ba 0.0000 0.0000 0.0000 (multiplicity 3)
I 0.0000 0.0000 0.5000 (multiplicity 3)
Br 0.0000 0.0000 0.3816 (multiplicity 6)

---

Arrangement 2

BaIBr2 after structural relaxation. Source: the Alexandria database, functional PBE.

Computed properties:
Total magnetization: 4.0 μB per cell
Fermi-level density of states: 45.87 states/eV per cell

Cell: 8.264 8.264 8.264 Å, 90.00 90.00 90.00°
Space group Fm-3m (No. 225)
Asymmetric unit:
Ba 0.000 0.000 0.000 (multiplicity 4)
I 0.000 0.000 0.500 (multiplicity 4)
Br 0.250 0.250 0.250 (multiplicity 8)

---

Arrangement 3

BaIBr2 after structural relaxation. Source: the Alexandria database, functional PBE.

Computed properties:
Total magnetization: 0.0 μB per cell
Fermi-level density of states: 44.94 states/eV per cell

Cell: 9.496 9.496 7.482 Å, 90.00 90.00 90.00°
Space group I-42d (No. 122)
Asymmetric unit:
Ba 0.000 0.000 0.000 (multiplicity 4)
I 0.000 0.000 0.500 (multiplicity 4)
Br 0.202 0.750 0.125 (multiplicity 8)

---

Result of the stability comparison: arrangement 3 is the least stable of them.